(1)
Density functional theory data (PBE) for crystalline Sc2SbP at its relaxed geometry.

```
Sc2SbP
1.0
1.752 1.012 8.623
-1.752 1.012 8.623
0.000 -2.023 8.623
Sc Sb P
2 1 1
Cartesian
0.000 0.000 0.000 Sc
0.000 0.000 5.928 Sc
0.000 0.000 19.570 Sb
0.000 0.000 12.876 P
```

Values from the calculation:
The value obtained for the electronic total energy is -5.70 eV per atom. Its formation energy (no corrections) is -0.156 eV/atom. For the density of states at the Fermi level, the calculation gives 4.562 states/eV per cell. The calculated volume comes out at 22.92 Å³ per atom.

(2)
Density functional theory data (PBE) for crystalline PmErTmCd at its relaxed geometry.

```
PmErTmCd
1.0
3.585 0.000 0.000
0.000 3.585 0.000
0.000 0.000 9.013
Pm Er Tm Cd
1 1 1 1
Cartesian
0.000 0.000 0.000 Pm
1.792 1.792 6.500 Er
1.792 1.792 2.503 Tm
0.000 0.000 4.489 Cd
```

Values from the calculation:
The value obtained for the electronic total energy is -3.82 eV per atom. For the density of states at the Fermi level, the calculation gives 4.134 states/eV per cell. The calculated volume comes out at 28.96 Å³ per atom. The formation energy comes out at -0.60 eV/f.u.

(3)
Density functional theory data (PBE) for crystalline DyHo3Ir8 at its relaxed geometry.

```
DyHo3Ir8
1.0
2.677 1.545 8.733
-2.677 1.545 8.733
0.000 -3.091 8.733
Dy Ho Ir
1 3 8
Cartesian
0.000 0.000 0.000 Dy
0.000 0.000 9.830 Ho
0.000 0.000 13.103 Ho
0.000 0.000 22.924 Ho
0.000 0.000 4.914 Ir
0.000 -1.545 15.828 Ir
-1.338 0.773 15.828 Ir
-1.338 -0.773 20.200 Ir
0.000 0.000 18.014 Ir
1.338 0.773 15.828 Ir
1.338 -0.773 20.200 Ir
0.000 1.545 20.200 Ir
```

Values from the calculation:
The value obtained for the electronic total energy is -8.25 eV per atom. For the density of states at the Fermi level, the calculation gives 9.124 states/eV per cell. The calculated volume comes out at 18.06 Å³ per atom. The formation energy comes out at -9.83 eV/f.u.

(4)
Density functional theory data (PBE) for crystalline Ce4BiAsS2 at its relaxed geometry.

```
Ce4BiAsS2
1.0
7.300 0.000 0.000
0.000 4.198 0.000
-2.419 0.000 6.915
Ce Bi As S
4 1 1 2
Cartesian
1.066 0.000 1.567 Ce
-0.136 2.099 5.241 Ce
5.017 2.099 1.674 Ce
3.815 0.000 5.348 Ce
2.440 2.099 3.458 Bi
3.650 0.000 0.000 As
-1.210 0.000 3.458 S
0.000 2.099 0.000 S
```

Values from the calculation:
The value obtained for the electronic total energy is -6.58 eV per atom. Its formation energy (no corrections) is -1.516 eV/atom. For the density of states at the Fermi level, the calculation gives 22.350 states/eV per cell. The calculated volume comes out at 26.49 Å³ per atom.

(5)
Density functional theory data (PBE) for crystalline NiMoP2 at its relaxed geometry.

```
NiMoP2
1.0
1.658 -2.368 0.000
1.658 2.368 0.000
0.000 0.000 6.940
Ni Mo P
1 1 2
Cartesian
0.000 0.000 0.000 Ni
0.000 0.000 3.470 Mo
1.658 0.000 1.644 P
1.658 0.000 5.296 P
```

Values from the calculation:
The value obtained for the electronic total energy is -6.74 eV per atom. For the density of states at the Fermi level, the calculation gives 3.601 states/eV per cell. The calculated volume comes out at 13.63 Å³ per atom. The formation energy comes out at 0.49 eV/f.u.

(6)
Density functional theory data (PBE) for crystalline Mg2TlIn at its relaxed geometry.

```
Mg2TlIn
1.0
-2.292 2.292 10.216
2.292 -2.292 10.216
2.292 2.292 -10.216
Mg Tl In
4 2 2
Cartesian
3.438 1.132 -2.554 Mg
1.132 1.146 2.554 Mg
-1.146 1.160 7.662 Mg
1.160 1.146 12.770 Mg
2.292 0.000 5.108 Tl
0.000 0.000 10.216 Tl
0.000 0.000 0.000 In
0.000 2.292 5.108 In
```

Values from the calculation:
The value obtained for the electronic total energy is -1.98 eV per atom. For the density of states at the Fermi level, the calculation gives 3.719 states/eV per cell. The calculated volume comes out at 26.84 Å³ per atom. The formation energy comes out at 0.36 eV/f.u.